Below is a geometry-optimized K2BaCl2 structure, with properties calculated at the GGA-PBE level.

Cell: 5.6060 5.6060 8.0773 Å, 69.69 69.69 90.00°
Atoms (fractional coordinates):
1 K 0.3358 0.3358 0.3283
2 K 0.6642 0.6642 0.6717
3 Ba 0.0000 0.0000 0.0000
4 Cl 0.7500 0.2500 0.5000
5 Cl 0.2500 0.7500 0.5000

Computed properties:
energy relative to the elements, uncorrected	-1241	meV/atom
total moment	0.00	μB/f.u.
ΔE to the lowest computed polymorph	0.1400	eV/atom
total energy	-2.803	eV per atom

=====

Below is a geometry-optimized KBaCl structure, with properties calculated at the GGA-PBE level.

Cell: 9.2176 9.2188 9.2188 Å, 153.44 153.44 37.91°
Atoms (fractional coordinates):
1 K 0.6613 0.6613 0.0000
2 Ba 0.9515 0.9514 0.0000
3 Cl 0.3873 0.3873 0.0000

Computed properties:
energy relative to the elements, uncorrected	-1081	meV/atom
total moment	0.00	μB/f.u.
ΔE to the lowest computed polymorph	0.0834	eV/atom
total energy	-2.703	eV per atom

=====

- total moment of number 2 (KBaCl)?
  0.00 μB/f.u.

=====

Copy entry 1 word for word.
Below is a geometry-optimized K2BaCl2 structure, with properties calculated at the GGA-PBE level.

Cell: 5.6060 5.6060 8.0773 Å, 69.69 69.69 90.00°
Atoms (fractional coordinates):
1 K 0.3358 0.3358 0.3283
2 K 0.6642 0.6642 0.6717
3 Ba 0.0000 0.0000 0.0000
4 Cl 0.7500 0.2500 0.5000
5 Cl 0.2500 0.7500 0.5000

Computed properties:
energy relative to the elements, uncorrected	-1241	meV/atom
total moment	0.00	μB/f.u.
ΔE to the lowest computed polymorph	0.1400	eV/atom
total energy	-2.803	eV per atom